A plane-wave DFT calculation with PBE was carried out for a relaxed BeHgSe2 crystal.

Total magnetization: 0.000 μB/atom
V: 25.550 Å³/atom
Calculated total energy: -2.844 eV/atom
Polymorph energy (0 for the lowest one): 375.6 meV per atom
Formation energy (no corrections): -0.4 eV per formula unit

abc: 5.028 3.593 5.920
angles: 90.00 107.14 90.00
Space group P2/m (No. 10)
Asymmetric unit:
Be  0.000  0.000  0.000
Hg  0.000  0.000  0.500
Se  0.302  0.500  0.085


A plane-wave DFT calculation with PBE was carried out for a relaxed BeHg2Se crystal.

Total magnetization: 0.000 μB/atom
V: 24.243 Å³/atom
Calculated total energy: -1.571 eV/atom
Polymorph energy (0 for the lowest one): 654.7 meV per atom
Formation energy (no corrections): 1.5 eV per formula unit

abc: 3.858 3.858 6.515
angles: 90.00 90.00 90.00
Space group P4/mmm (No. 123)
Asymmetric unit:
Be  0.000  0.000  0.000
Hg  0.000  0.500  0.500
Se  0.500  0.500  0.000


A plane-wave DFT calculation with PBE was carried out for a relaxed BeHgSe2 crystal.

Total magnetization: 0.000 μB/atom
V: 27.025 Å³/atom
Calculated total energy: -3.133 eV/atom
Polymorph energy (0 for the lowest one): 87.0 meV per atom
Formation energy (no corrections): -1.5 eV per formula unit

abc: 6.755 4.034 7.949
angles: 90.00 93.50 90.00
Space group P2_1/m (No. 11)
Asymmetric unit:
Be  0.074  0.250  0.138
Hg  0.456  0.250  0.739
Se  0.103  0.250  0.856
Se  0.315  0.250  0.334


Question: The highest formation energy (no corrections) belongs to which entry?
Answer: BeHg2Se


Please write out number 2 again, unchanged.
A plane-wave DFT calculation with PBE was carried out for a relaxed BeHg2Se crystal.

Total magnetization: 0.000 μB/atom
V: 24.243 Å³/atom
Calculated total energy: -1.571 eV/atom
Polymorph energy (0 for the lowest one): 654.7 meV per atom
Formation energy (no corrections): 1.5 eV per formula unit

abc: 3.858 3.858 6.515
angles: 90.00 90.00 90.00
Space group P4/mmm (No. 123)
Asymmetric unit:
Be  0.000  0.000  0.000
Hg  0.000  0.500  0.500
Se  0.500  0.500  0.000


Question: Look up the calculated total energy of the second one.
Answer: -1.571 eV/atom